Entry 1:
# TiPtPb3 (GGA-PBEsol, relaxed)
data_TiPtPb3
_chemical_formula_sum 'Ti1 Pt1 Pb3'
_symmetry_space_group_name_H-M 'P 1'
_symmetry_Int_Tables_number 1
_symmetry_space_group_name_Hall 'P 1'
_cell_length_a 5.285
_cell_length_b 5.285
_cell_length_c 5.285
_cell_angle_alpha 90.00
_cell_angle_beta 90.00
_cell_angle_gamma 90.00
loop_
_atom_site_label
_atom_site_type_symbol
_atom_site_fract_x
_atom_site_fract_y
_atom_site_fract_z
_atom_site_occupancy
Pb1 Pb 0.000 0.500 0.000 1
Pb2 Pb 0.000 0.000 0.500 1
Pb3 Pb 0.500 0.000 0.000 1
Pt1 Pt 0.000 0.000 0.000 1
Ti1 Ti 0.500 0.500 0.500 1
# Energy relative to the elements: 0.68 eV/atom
# Electronic total energy: -23.863 eV per cell
# Space group: Pm-3m



Entry 2:
# TiPt3Pb (GGA-PBEsol, relaxed)
data_TiPt3Pb
_chemical_formula_sum 'Ti1 Pt3 Pb1'
_symmetry_space_group_name_H-M 'P 1'
_symmetry_Int_Tables_number 1
_symmetry_space_group_name_Hall 'P 1'
_cell_length_a 4.931
_cell_length_b 4.931
_cell_length_c 4.931
_cell_angle_alpha 90.00
_cell_angle_beta 90.00
_cell_angle_gamma 90.00
loop_
_atom_site_label
_atom_site_type_symbol
_atom_site_fract_x
_atom_site_fract_y
_atom_site_fract_z
_atom_site_occupancy
Pb1 Pb 0.000 0.000 0.000 1
Pt1 Pt 0.000 0.500 0.000 1
Pt2 Pt 0.000 0.000 0.500 1
Pt3 Pt 0.500 0.000 0.000 1
Ti1 Ti 0.500 0.500 0.500 1
# Energy relative to the elements: 1.31 eV/atom
# Electronic total energy: -26.685 eV per cell
# Space group: Pm-3m



Entry 3:
# TlPt4Pb (GGA-PBEsol, relaxed)
data_TlPt4Pb
_chemical_formula_sum 'Tl1 Pt4 Pb1'
_symmetry_space_group_name_H-M 'P 1'
_symmetry_Int_Tables_number 1
_symmetry_space_group_name_Hall 'P 1'
_cell_length_a 5.394
_cell_length_b 5.394
_cell_length_c 5.394
_cell_angle_alpha 60.00
_cell_angle_beta 60.00
_cell_angle_gamma 60.00
loop_
_atom_site_label
_atom_site_type_symbol
_atom_site_fract_x
_atom_site_fract_y
_atom_site_fract_z
_atom_site_occupancy
Pb1 Pb 0.000 0.000 0.000 1
Tl1 Tl 0.750 0.750 0.750 1
Pt1 Pt 0.375 0.375 0.375 1
Pt2 Pt 0.375 0.375 0.874 1
Pt3 Pt 0.874 0.375 0.375 1
Pt4 Pt 0.375 0.874 0.375 1
# Energy relative to the elements: -0.10 eV/atom
# Electronic total energy: -35.084 eV per cell
# Space group: F-43m



Entry 4:
# TlPtPb2 (GGA-PBEsol, relaxed)
data_TlPtPb2
_chemical_formula_sum 'Tl1 Pt1 Pb2'
_symmetry_space_group_name_H-M 'P 1'
_symmetry_Int_Tables_number 1
_symmetry_space_group_name_Hall 'P 1'
_cell_length_a 4.739
_cell_length_b 4.739
_cell_length_c 5.397
_cell_angle_alpha 116.05
_cell_angle_beta 116.05
_cell_angle_gamma 90.00
loop_
_atom_site_label
_atom_site_type_symbol
_atom_site_fract_x
_atom_site_fract_y
_atom_site_fract_z
_atom_site_occupancy
Pb1 Pb 0.000 0.000 0.000 1
Pb2 Pb 0.750 0.250 0.500 1
Pt1 Pt 0.500 0.500 0.000 1
Tl1 Tl 0.250 0.750 0.500 1
# Energy relative to the elements: 0.17 eV/atom
# Electronic total energy: -16.916 eV per cell
# Space group: I-4m2
# Energy above the lowest structure with this stoichiometry: 226.7 meV/atom



Entry 5:
# TlPtPb2 (GGA-PBEsol, relaxed)
data_TlPtPb2
_chemical_formula_sum 'Tl1 Pt1 Pb2'
_symmetry_space_group_name_H-M 'P 1'
_symmetry_Int_Tables_number 1
_symmetry_space_group_name_Hall 'P 1'
_cell_length_a 5.106
_cell_length_b 5.129
_cell_length_c 5.106
_cell_angle_alpha 119.85
_cell_angle_beta 90.00
_cell_angle_gamma 119.85
loop_
_atom_site_label
_atom_site_type_symbol
_atom_site_fract_x
_atom_site_fract_y
_atom_site_fract_z
_atom_site_occupancy
Pb1 Pb 0.750 0.500 0.250 1
Pb2 Pb 0.250 0.500 0.750 1
Pt1 Pt 0.500 0.000 0.500 1
Tl1 Tl 0.000 0.000 0.000 1
# Energy relative to the elements: 0.11 eV/atom
# Electronic total energy: -17.136 eV per cell
# Space group: I4/mmm
# Energy above the lowest structure with this stoichiometry: 171.7 meV/atom



Entry 6:
# TlPtPb2 (GGA-PBEsol, relaxed)
data_TlPtPb2
_chemical_formula_sum 'Tl1 Pt1 Pb2'
_symmetry_space_group_name_H-M 'P 1'
_symmetry_Int_Tables_number 1
_symmetry_space_group_name_Hall 'P 1'
_cell_length_a 3.617
_cell_length_b 4.405
_cell_length_c 6.728
_cell_angle_alpha 109.15
_cell_angle_beta 90.00
_cell_angle_gamma 90.00
loop_
_atom_site_label
_atom_site_type_symbol
_atom_site_fract_x
_atom_site_fract_y
_atom_site_fract_z
_atom_site_occupancy
Pb1 Pb 0.000 0.056 0.986 1
Pb2 Pb 0.500 0.728 0.331 1
Pt1 Pt 0.000 0.274 0.422 1
Tl1 Tl 0.500 0.443 0.761 1
# Energy relative to the elements: 0.01 eV/atom
# Electronic total energy: -17.555 eV per cell
# Space group: Amm2
# Energy above the lowest structure with this stoichiometry: 67.0 meV/atom



Entry 7:
# TlPtPb (GGA-PBEsol, relaxed)
data_TlPtPb
_chemical_formula_sum 'Tl1 Pt1 Pb1'
_symmetry_space_group_name_H-M 'P 1'
_symmetry_Int_Tables_number 1
_symmetry_space_group_name_Hall 'P 1'
_cell_length_a 4.684
_cell_length_b 4.684
_cell_length_c 4.684
_cell_angle_alpha 60.00
_cell_angle_beta 60.00
_cell_angle_gamma 60.00
loop_
_atom_site_label
_atom_site_type_symbol
_atom_site_fract_x
_atom_site_fract_y
_atom_site_fract_z
_atom_site_occupancy
Pb1 Pb 0.500 0.500 0.500 1
Tl1 Tl 0.000 0.000 0.000 1
Pt1 Pt 0.250 0.250 0.250 1
# Energy relative to the elements: -0.13 eV/atom
# Electronic total energy: -13.969 eV per cell
# Space group: F-43m



Entry 8:
# TlPtPb2 (GGA-PBEsol, relaxed)
data_TlPtPb2
_chemical_formula_sum 'Tl1 Pt1 Pb2'
_symmetry_space_group_name_H-M 'P 1'
_symmetry_Int_Tables_number 1
_symmetry_space_group_name_Hall 'P 1'
_cell_length_a 3.416
_cell_length_b 3.416
_cell_length_c 8.432
_cell_angle_alpha 90.00
_cell_angle_beta 90.00
_cell_angle_gamma 90.00
loop_
_atom_site_label
_atom_site_type_symbol
_atom_site_fract_x
_atom_site_fract_y
_atom_site_fract_z
_atom_site_occupancy
Pb1 Pb 0.000 0.000 0.301 1
Pb2 Pb 0.000 0.000 0.699 1
Tl1 Tl 0.500 0.500 0.000 1
Pt1 Pt 0.500 0.500 0.500 1
# Energy relative to the elements: -0.06 eV/atom
# Electronic total energy: -17.823 eV per cell
# Space group: P4/mmm
# Energy above the lowest structure with this stoichiometry: 0.0 meV/atom